w | Zr2VPd: relaxed, PBE.

a = 6.678 Å, b = 6.678 Å, c = 6.678 Å
α = 90.00°, β = 90.00°, γ = 90.00°
Element x y z (fractional)
Zr1 0.250 0.250 0.250
Zr2 0.250 0.250 0.750
Zr3 0.250 0.750 0.250
Zr4 0.250 0.750 0.750
Zr5 0.750 0.250 0.250
Zr6 0.750 0.250 0.750
Zr7 0.750 0.750 0.250
Zr8 0.750 0.750 0.750
V1 0.000 0.000 0.000
V2 0.000 0.500 0.500
V3 0.500 0.000 0.500
V4 0.500 0.500 0.000
Pd1 0.000 0.000 0.500
Pd2 0.000 0.500 0.000
Pd3 0.500 0.000 0.000
Pd4 0.500 0.500 0.500

Output
**Symmetry**: Fm-3m


x | Zr2VPd: relaxed, PBE.

a = 4.096 Å, b = 4.096 Å, c = 19.313 Å
α = 90.00°, β = 90.00°, γ = 90.00°
Element x y z (fractional)
Zr1 0.250 0.250 0.125
Zr2 0.250 0.250 0.625
Zr3 0.250 0.750 0.375
Zr4 0.250 0.750 0.875
Zr5 0.750 0.250 0.375
Zr6 0.750 0.250 0.875
Zr7 0.750 0.750 0.125
Zr8 0.750 0.750 0.625
V1 0.000 0.000 0.000
V2 0.000 0.500 0.250
V3 0.500 0.000 0.750
V4 0.500 0.500 0.500
Pd1 0.000 0.000 0.500
Pd2 0.000 0.500 0.750
Pd3 0.500 0.000 0.250
Pd4 0.500 0.500 0.000

Output
**Symmetry**: I-42d


Ranking the structures above from most stable to least stable yields w, x.